Record 1
Below is a relaxed structure of Dy3MgCu4, with properties calculated at the GGA-PBE level.

Cell lengths 4.804, 6.834, 9.609 Å; angles 90.00, 90.00, 90.00 degrees
Element x y z (fractional)
Mg: 0.000 0.500 0.000
Mg: 0.000 0.500 0.500
Cu: 0.500 0.746 0.000
Cu: 0.500 0.746 0.500
Cu: 0.500 0.254 0.000
Cu: 0.500 0.254 0.500
Cu: 0.000 0.746 0.750
Cu: 0.000 0.746 0.250
Cu: 0.000 0.254 0.250
Cu: 0.000 0.254 0.750
Dy: 0.000 0.000 0.000
Dy: 0.000 0.000 0.500
Dy: 0.500 0.000 0.750
Dy: 0.500 0.000 0.250
Dy: 0.500 0.500 0.750
Dy: 0.500 0.500 0.250

Properties
Space-group type   P4/mmm (123)
Calculated total energy   -33.41 eV per formula unit
Fermi-level density of states   0.47 states/eV/atom

***

Record 2
Below is a relaxed structure of DyMg4Cu2, with properties calculated at the GGA-PBE level.

Cell lengths 4.185, 4.192, 8.452 Å; angles 104.36, 90.00, 90.00 degrees
Element x y z (fractional)
Dy: 0.000 0.000 0.000
Mg: 0.500 0.825 0.651
Mg: 0.000 0.675 0.349
Mg: 0.500 0.175 0.349
Mg: 0.000 0.325 0.651
Cu: 0.500 0.573 0.145
Cu: 0.500 0.427 0.855

Properties
Polymorph energy (0 for the lowest one)   0.16 eV/f.u.
Space-group type   Cmmm (65)
Fermi-level density of states   0.60 states/eV/atom

***

Record 3
Below is a relaxed structure of DyMg8Cu4, with properties calculated at the GGA-PBE level.

Cell lengths 5.367, 7.251, 7.251 Å; angles 82.13, 68.28, 68.28 degrees
Element x y z (fractional)
Dy: 0.000 0.000 0.000
Mg: 0.000 0.341 0.659
Mg: 0.000 0.659 0.341
Mg: 0.341 0.659 0.659
Mg: 0.659 0.341 0.341
Mg: 0.500 0.785 0.215
Mg: 0.500 0.215 0.785
Mg: 0.285 0.215 0.215
Mg: 0.715 0.785 0.785
Cu: 0.000 0.000 0.500
Cu: 0.500 0.000 0.500
Cu: 0.000 0.500 0.000
Cu: 0.500 0.500 0.000

Properties
Space-group type   I4/mmm (139)
Calculated total energy   -35.03 eV per formula unit
Fermi-level density of states   0.54 states/eV/atom

***

Record 4
Below is a relaxed structure of Dy8Mg2Cu, with properties calculated at the GGA-PBE level.

Cell lengths 5.374, 6.896, 9.252 Å; angles 107.34, 106.88, 90.00 degrees
Element x y z (fractional)
Dy: 0.406 0.566 0.811
Dy: 0.651 0.948 0.302
Dy: 0.804 0.730 0.607
Dy: 0.982 0.224 0.964
Dy: 0.196 0.270 0.393
Dy: 0.349 0.052 0.698
Dy: 0.594 0.434 0.189
Dy: 0.018 0.776 0.036
Mg: 0.814 0.289 0.628
Mg: 0.186 0.711 0.372
Cu: 0.500 0.000 0.000

Properties
Space-group type   C2/m (12)
Calculated total energy   -43.85 eV per formula unit
Fermi-level density of states   1.26 states/eV/atom

***

Record 5
Below is a relaxed structure of DyMg2Cu6, with properties calculated at the GGA-PBE level.

Cell lengths 3.268, 7.472, 7.472 Å; angles 56.59, 77.37, 77.37 degrees
Element x y z (fractional)
Dy: 0.000 0.000 0.000
Mg: 0.860 0.640 0.640
Mg: 0.140 0.360 0.360
Cu: 0.678 0.005 0.639
Cu: 0.322 0.995 0.361
Cu: 0.322 0.361 0.995
Cu: 0.500 0.672 0.328
Cu: 0.500 0.328 0.672
Cu: 0.678 0.639 0.005

Properties
Space-group type   Immm (71)
Calculated total energy   -32.68 eV per formula unit
Fermi-level density of states   0.47 states/eV/atom

***

Record 6
Below is a relaxed structure of DyMg2Cu9, with properties calculated at the GGA-PBE level.

Cell lengths 5.035, 5.035, 8.548 Å; angles 72.87, 72.87, 60.00 degrees
Element x y z (fractional)
Dy: 0.000 0.000 0.000
Mg: 0.855 0.855 0.435
Mg: 0.145 0.145 0.565
Cu: 0.667 0.667 0.000
Cu: 0.333 0.333 0.000
Cu: 0.500 0.500 0.500
Cu: 0.414 0.414 0.254
Cu: 0.918 0.414 0.254
Cu: 0.414 0.918 0.254
Cu: 0.586 0.586 0.746
Cu: 0.586 0.082 0.746
Cu: 0.082 0.586 0.746

Properties
Polymorph energy (0 for the lowest one)   0.06 eV/f.u.
Space-group type   R-3m (166)
Fermi-level density of states   0.65 states/eV/atom

***

Record 7
Below is a relaxed structure of Dy2MgCu, with properties calculated at the GGA-PBE level.

Cell lengths 3.492, 3.492, 7.963 Å; angles 90.00, 90.00, 90.00 degrees
Element x y z (fractional)
Mg: 0.500 0.500 0.500
Cu: 0.500 0.500 0.000
Dy: 0.000 0.000 0.789
Dy: 0.000 0.000 0.211

Properties
Polymorph energy (0 for the lowest one)   0.00 eV/f.u.
Space-group type   P4/mmm (123)
Fermi-level density of states   1.07 states/eV/atom

***

Record 8
Below is a relaxed structure of DyMg2Cu2, with properties calculated at the GGA-PBE level.

Cell lengths 3.692, 6.755, 8.325 Å; angles 90.00, 90.00, 105.86 degrees
Element x y z (fractional)
Dy: 0.417 0.833 0.341
Dy: 0.583 0.167 0.841
Mg: 0.306 0.612 0.959
Mg: 0.694 0.388 0.459
Mg: 0.121 0.241 0.195
Mg: 0.879 0.759 0.695
Cu: 0.225 0.449 0.676
Cu: 0.775 0.551 0.176
Cu: 0.948 0.895 0.034
Cu: 0.052 0.105 0.534

Properties
Polymorph energy (0 for the lowest one)   0.00 eV/f.u.
Space-group type   Cmc2_1 (36)
Fermi-level density of states   0.72 states/eV/atom

***

Record 9
Below is a relaxed structure of DyMg2Cu2, with properties calculated at the GGA-PBE level.

Cell lengths 3.773, 4.863, 11.054 Å; angles 97.15, 90.00, 90.00 degrees
Element x y z (fractional)
Dy: 0.250 0.687 0.243
Dy: 0.750 0.313 0.757
Mg: 0.250 0.849 0.896
Mg: 0.750 0.151 0.104
Mg: 0.250 0.252 0.507
Mg: 0.750 0.748 0.493
Cu: 0.250 0.798 0.661
Cu: 0.750 0.202 0.339
Cu: 0.250 0.361 0.965
Cu: 0.750 0.639 0.035

Properties
Polymorph energy (0 for the lowest one)   0.15 eV/f.u.
Space-group type   P2_1/m (11)
Fermi-level density of states   0.68 states/eV/atom

***

Record 10
Below is a relaxed structure of DyMg8Cu2, with properties calculated at the GGA-PBE level.

Cell lengths 5.181, 7.290, 7.290 Å; angles 113.09, 81.81, 81.81 degrees
Element x y z (fractional)
Dy: 0.500 0.000 0.000
Mg: 0.916 0.072 0.327
Mg: 0.916 0.327 0.072
Mg: 0.287 0.409 0.409
Mg: 0.500 0.264 0.736
Mg: 0.500 0.736 0.264
Mg: 0.713 0.591 0.591
Mg: 0.084 0.673 0.928
Mg: 0.084 0.928 0.673
Cu: 0.000 0.692 0.308
Cu: 0.000 0.308 0.692

Properties
Space-group type   C2/m (12)
Calculated total energy   -25.26 eV per formula unit
Fermi-level density of states   0.48 states/eV/atom

***

Record 11
Below is a relaxed structure of Dy2MgCu3, with properties calculated at the GGA-PBE level.

Cell lengths 4.783, 4.783, 11.661 Å; angles 90.00, 90.00, 120.00 degrees
Element x y z (fractional)
Dy: 0.000 0.000 0.500
Dy: 0.333 0.667 0.179
Dy: 0.667 0.333 0.821
Dy: 0.000 0.000 0.000
Mg: 0.333 0.667 0.664
Mg: 0.667 0.333 0.336
Cu: 0.333 0.667 0.424
Cu: 0.667 0.333 0.083
Cu: 0.000 0.000 0.747
Cu: 0.000 0.000 0.253
Cu: 0.333 0.667 0.917
Cu: 0.667 0.333 0.576

Properties
Space-group type   P-3m1 (164)
Calculated total energy   -24.36 eV per formula unit
Fermi-level density of states   0.58 states/eV/atom

***

Record 12
Below is a relaxed structure of DyMg3Cu, with properties calculated at the GGA-PBE level.

Cell lengths 4.885, 4.885, 4.885 Å; angles 90.00, 90.00, 90.00 degrees
Element x y z (fractional)
Mg: 0.000 0.500 0.000
Mg: 0.000 0.000 0.500
Mg: 0.500 0.000 0.000
Cu: 0.000 0.000 0.000
Dy: 0.500 0.500 0.500

Properties
Polymorph energy (0 for the lowest one)   0.89 eV/f.u.
Space-group type   Pm-3m (221)
Fermi-level density of states   0.63 states/eV/atom